Model w:
A plane-wave DFT calculation with GGA-PBE was carried out for a relaxed structure of PtI4.

Its magnetization is 0.01 μB per atom.

```
data_PtI4
_chemical_formula_sum 'Pt2 I8'
_symmetry_space_group_name_H-M 'P 1'
_symmetry_Int_Tables_number 1
_cell_length_a 7.744
_cell_length_b 7.519
_cell_length_c 9.113
_cell_angle_alpha 54.49
_cell_angle_beta 52.21
_cell_angle_gamma 73.30
loop_
_symmetry_equiv_pos_as_xyz
'x,y,z'
loop_
_atom_site_label
_atom_site_fract_x
_atom_site_fract_y
_atom_site_fract_z
_atom_site_occupancy
Pt1 0.247 0.247 0.753 1
Pt2 0.497 0.497 0.003 1
I1 0.219 0.249 0.454 1
I2 0.689 0.748 0.991 1
I3 0.796 0.172 0.031 1
I4 0.259 0.678 0.561 1
I5 0.172 0.796 0.001 1
I6 0.748 0.689 0.572 1
I7 0.678 0.259 0.502 1
I8 0.249 0.219 0.078 1
```

Model x:
A plane-wave DFT calculation with GGA-PBE was carried out for a relaxed structure of PtI4.

Its magnetization is 0.00 μB per atom.

```
data_PtI4
_chemical_formula_sum 'Pt1 I4'
_symmetry_space_group_name_H-M 'P 1'
_symmetry_Int_Tables_number 1
_cell_length_a 5.691
_cell_length_b 5.691
_cell_length_c 5.691
_cell_angle_alpha 90.00
_cell_angle_beta 90.00
_cell_angle_gamma 90.00
loop_
_symmetry_equiv_pos_as_xyz
'x,y,z'
loop_
_atom_site_label
_atom_site_fract_x
_atom_site_fract_y
_atom_site_fract_z
_atom_site_occupancy
I1 0.262 0.738 0.738 1
I2 0.738 0.262 0.738 1
I3 0.262 0.262 0.262 1
I4 0.738 0.738 0.262 1
Pt1 0.000 0.000 0.000 1
```

Most stable: model w

Model w:
A plane-wave DFT calculation with GGA-PBE was carried out for a relaxed structure of PtI4.

Its magnetization is 0.00 μB per atom.

```
data_PtI4
_chemical_formula_sum 'Pt4 I16'
_symmetry_space_group_name_H-M 'P 1'
_symmetry_Int_Tables_number 1
_cell_length_a 8.197
_cell_length_b 8.197
_cell_length_c 12.270
_cell_angle_alpha 107.44
_cell_angle_beta 107.44
_cell_angle_gamma 90.87
loop_
_symmetry_equiv_pos_as_xyz
'x,y,z'
loop_
_atom_site_label
_atom_site_fract_x
_atom_site_fract_y
_atom_site_fract_z
_atom_site_occupancy
I1 0.831 0.559 0.385 1
I2 0.077 0.812 0.870 1
I3 0.090 0.290 0.888 1
I4 0.710 0.910 0.612 1
I5 0.290 0.090 0.388 1
I6 0.719 0.468 0.652 1
I7 0.468 0.719 0.152 1
I8 0.281 0.532 0.348 1
I9 0.923 0.188 0.130 1
I10 0.169 0.441 0.615 1
I11 0.532 0.281 0.848 1
I12 0.812 0.077 0.370 1
I13 0.188 0.923 0.630 1
I14 0.910 0.710 0.112 1
I15 0.559 0.831 0.885 1
I16 0.441 0.169 0.115 1
Pt1 0.054 0.315 0.372 1
Pt2 0.685 0.946 0.128 1
Pt3 0.315 0.054 0.872 1
Pt4 0.946 0.685 0.628 1
```

Model x:
A plane-wave DFT calculation with GGA-PBE was carried out for a relaxed structure of PtI4.

Its magnetization is 0.00 μB per atom.

```
data_PtI4
_chemical_formula_sum 'Pt8 I32'
_symmetry_space_group_name_H-M 'P 1'
_symmetry_Int_Tables_number 1
_cell_length_a 6.991
_cell_length_b 13.331
_cell_length_c 15.969
_cell_angle_alpha 90.00
_cell_angle_beta 90.00
_cell_angle_gamma 90.00
loop_
_symmetry_equiv_pos_as_xyz
'x,y,z'
loop_
_atom_site_label
_atom_site_fract_x
_atom_site_fract_y
_atom_site_fract_z
_atom_site_occupancy
Pt1 0.406 0.323 0.189 1
Pt2 0.094 0.823 0.189 1
Pt3 0.094 0.677 0.689 1
Pt4 0.906 0.177 0.811 1
Pt5 0.406 0.177 0.689 1
Pt6 0.906 0.323 0.311 1
Pt7 0.594 0.823 0.311 1
Pt8 0.594 0.677 0.811 1
I1 0.413 0.711 0.194 1
I2 0.220 0.438 0.316 1
I3 0.280 0.562 0.816 1
I4 0.058 0.295 0.933 1
I5 0.251 0.557 0.573 1
I6 0.942 0.795 0.567 1
I7 0.220 0.062 0.816 1
I8 0.442 0.795 0.933 1
I9 0.913 0.789 0.806 1
I10 0.942 0.705 0.067 1
I11 0.720 0.062 0.684 1
I12 0.249 0.057 0.573 1
I13 0.280 0.938 0.316 1
I14 0.087 0.211 0.194 1
I15 0.780 0.562 0.684 1
I16 0.249 0.443 0.073 1
I17 0.087 0.289 0.694 1
I18 0.780 0.938 0.184 1
I19 0.587 0.211 0.306 1
I20 0.751 0.943 0.427 1
I21 0.058 0.205 0.433 1
I22 0.720 0.438 0.184 1
I23 0.913 0.711 0.306 1
I24 0.558 0.205 0.067 1
I25 0.749 0.057 0.927 1
I26 0.751 0.557 0.927 1
I27 0.558 0.295 0.567 1
I28 0.251 0.943 0.073 1
I29 0.413 0.789 0.694 1
I30 0.749 0.443 0.427 1
I31 0.587 0.289 0.806 1
I32 0.442 0.705 0.433 1
```

Most stable: model x

Model w:
A plane-wave DFT calculation with GGA-PBE was carried out for a relaxed structure of Pt2I.

Its magnetization is 0.33 μB per atom.

```
data_Pt2I
_chemical_formula_sum 'Pt4 I2'
_symmetry_space_group_name_H-M 'P 1'
_symmetry_Int_Tables_number 1
_cell_length_a 8.134
_cell_length_b 8.134
_cell_length_c 8.134
_cell_angle_alpha 60.00
_cell_angle_beta 60.00
_cell_angle_gamma 60.00
loop_
_symmetry_equiv_pos_as_xyz
'x,y,z'
loop_
_atom_site_label
_atom_site_fract_x
_atom_site_fract_y
_atom_site_fract_z
_atom_site_occupancy
Pt1 0.375 0.375 0.875 1
Pt2 0.375 0.375 0.375 1
Pt3 0.375 0.875 0.375 1
Pt4 0.875 0.375 0.375 1
I1 0.250 0.250 0.250 1
I2 0.500 0.500 0.500 1
```

Model x:
A plane-wave DFT calculation with GGA-PBE was carried out for a relaxed structure of Pt2I.

Its magnetization is 0.00 μB per atom.

```
data_Pt2I
_chemical_formula_sum 'Pt4 I2'
_symmetry_space_group_name_H-M 'P 1'
_symmetry_Int_Tables_number 1
_cell_length_a 5.509
_cell_length_b 5.509
_cell_length_c 5.509
_cell_angle_alpha 60.00
_cell_angle_beta 60.00
_cell_angle_gamma 60.00
loop_
_symmetry_equiv_pos_as_xyz
'x,y,z'
loop_
_atom_site_label
_atom_site_fract_x
_atom_site_fract_y
_atom_site_fract_z
_atom_site_occupancy
Pt1 0.625 0.625 0.125 1
Pt2 0.125 0.625 0.625 1
Pt3 0.625 0.625 0.625 1
Pt4 0.625 0.125 0.625 1
I1 0.250 0.250 0.250 1
I2 0.000 0.000 0.000 1
```

Most stable: model x

Model w:
A plane-wave DFT calculation with GGA-PBE was carried out for a relaxed structure of TeWSe3I.

Its magnetization is 0.00 μB per atom.

```
data_TeWSe3I
_chemical_formula_sum 'Te2 W2 Se6 I2'
_symmetry_space_group_name_H-M 'P 1'
_symmetry_Int_Tables_number 1
_cell_length_a 6.539
_cell_length_b 7.965
_cell_length_c 8.398
_cell_angle_alpha 102.85
_cell_angle_beta 112.78
_cell_angle_gamma 97.32
loop_
_symmetry_equiv_pos_as_xyz
'x,y,z'
loop_
_atom_site_label
_atom_site_fract_x
_atom_site_fract_y
_atom_site_fract_z
_atom_site_occupancy
Te1 0.853 0.713 0.793 1
Te2 0.147 0.287 0.207 1
Se1 0.570 0.257 0.058 1
Se2 0.947 0.175 0.839 1
Se3 0.649 0.094 0.270 1
Se4 0.053 0.825 0.161 1
Se5 0.430 0.743 0.942 1
Se6 0.351 0.906 0.730 1
I1 0.334 0.264 0.589 1
I2 0.666 0.736 0.411 1
W1 0.778 0.000 0.000 1
W2 0.222 0.000 0.000 1
```

Model x:
A plane-wave DFT calculation with GGA-PBE was carried out for a relaxed structure of TeWSe3I.

Its magnetization is 0.00 μB per atom.

```
data_TeWSe3I
_chemical_formula_sum 'Te2 W2 Se6 I2'
_symmetry_space_group_name_H-M 'P 1'
_symmetry_Int_Tables_number 1
_cell_length_a 6.498
_cell_length_b 8.303
_cell_length_c 8.333
_cell_angle_alpha 115.06
_cell_angle_beta 104.30
_cell_angle_gamma 98.21
loop_
_symmetry_equiv_pos_as_xyz
'x,y,z'
loop_
_atom_site_label
_atom_site_fract_x
_atom_site_fract_y
_atom_site_fract_z
_atom_site_occupancy
Se1 0.607 0.104 0.281 1
Se2 0.393 0.896 0.719 1
Se3 0.477 0.789 0.051 1
Se4 0.042 0.891 0.192 1
Se5 0.958 0.109 0.808 1
Se6 0.523 0.211 0.949 1
I1 0.738 0.603 0.405 1
I2 0.262 0.397 0.595 1
Te1 0.881 0.678 0.809 1
Te2 0.119 0.322 0.191 1
W1 0.225 0.000 0.000 1
W2 0.775 0.000 0.000 1
```

Most stable: model x

Model w:
A plane-wave DFT calculation with GGA-PBE was carried out for a relaxed structure of TeWSe3I.

Its magnetization is 0.00 μB per atom.

```
data_TeWSe3I
_chemical_formula_sum 'Te2 W2 Se6 I2'
_symmetry_space_group_name_H-M 'P 1'
_symmetry_Int_Tables_number 1
_cell_length_a 6.566
_cell_length_b 8.313
_cell_length_c 8.657
_cell_angle_alpha 105.50
_cell_angle_beta 112.27
_cell_angle_gamma 103.93
loop_
_symmetry_equiv_pos_as_xyz
'x,y,z'
loop_
_atom_site_label
_atom_site_fract_x
_atom_site_fract_y
_atom_site_fract_z
_atom_site_occupancy
I1 0.883 0.233 0.621 1
I2 0.117 0.767 0.379 1
Te1 0.693 0.259 0.230 1
Te2 0.307 0.741 0.770 1
W1 0.781 0.001 0.000 1
W2 0.219 0.999 0.000 1
Se1 0.173 0.089 0.290 1
Se2 0.144 0.288 0.111 1
Se3 0.856 0.712 0.889 1
Se4 0.827 0.911 0.710 1
Se5 0.497 0.178 0.887 1
Se6 0.503 0.822 0.113 1
```

Model x:
A plane-wave DFT calculation with GGA-PBE was carried out for a relaxed structure of TeWSe3I.

Its magnetization is 0.00 μB per atom.

```
data_TeWSe3I
_chemical_formula_sum 'Te2 W2 Se6 I2'
_symmetry_space_group_name_H-M 'P 1'
_symmetry_Int_Tables_number 1
_cell_length_a 6.551
_cell_length_b 8.158
_cell_length_c 8.499
_cell_angle_alpha 115.78
_cell_angle_beta 103.89
_cell_angle_gamma 98.71
loop_
_symmetry_equiv_pos_as_xyz
'x,y,z'
loop_
_atom_site_label
_atom_site_fract_x
_atom_site_fract_y
_atom_site_fract_z
_atom_site_occupancy
Se1 0.966 0.120 0.820 1
Se2 0.109 0.303 0.166 1
Se3 0.891 0.697 0.834 1
Se4 0.477 0.792 0.054 1
Se5 0.523 0.208 0.946 1
Se6 0.034 0.880 0.180 1
I1 0.747 0.603 0.428 1
I2 0.253 0.397 0.572 1
W1 0.781 0.000 0.000 1
W2 0.219 0.000 0.000 1
Te1 0.378 0.855 0.695 1
Te2 0.622 0.145 0.305 1
```

Most stable: model x

Model w:
A plane-wave DFT calculation with GGA-PBE was carried out for a relaxed structure of TcI2.

Its magnetization is 0.29 μB per atom.

```
data_TcI2
_chemical_formula_sum 'Tc2 I4'
_symmetry_space_group_name_H-M 'P 1'
_symmetry_Int_Tables_number 1
_cell_length_a 6.305
_cell_length_b 6.305
_cell_length_c 4.225
_cell_angle_alpha 90.00
_cell_angle_beta 90.00
_cell_angle_gamma 90.00
loop_
_symmetry_equiv_pos_as_xyz
'x,y,z'
loop_
_atom_site_label
_atom_site_fract_x
_atom_site_fract_y
_atom_site_fract_z
_atom_site_occupancy
I1 0.695 0.695 0.000 1
I2 0.305 0.305 0.000 1
I3 0.195 0.805 0.500 1
I4 0.805 0.195 0.500 1
Tc1 0.500 0.500 0.500 1
Tc2 0.000 0.000 0.000 1
```

Model x:
A plane-wave DFT calculation with GGA-PBE was carried out for a relaxed structure of TcI2.

Its magnetization is 1.33 μB per atom.

```
data_TcI2
_chemical_formula_sum 'Tc2 I4'
_symmetry_space_group_name_H-M 'P 1'
_symmetry_Int_Tables_number 1
_cell_length_a 6.704
_cell_length_b 6.704
_cell_length_c 6.704
_cell_angle_alpha 60.00
_cell_angle_beta 60.00
_cell_angle_gamma 60.00
loop_
_symmetry_equiv_pos_as_xyz
'x,y,z'
loop_
_atom_site_label
_atom_site_fract_x
_atom_site_fract_y
_atom_site_fract_z
_atom_site_occupancy
Tc1 0.000 0.000 0.000 1
Tc2 0.250 0.250 0.250 1
I1 0.625 0.625 0.125 1
I2 0.625 0.625 0.625 1
I3 0.625 0.125 0.625 1
I4 0.125 0.625 0.625 1
```

Most stable: model w

Model w:
A plane-wave DFT calculation with GGA-PBE was carried out for a relaxed structure of WI.

Its magnetization is 1.22 μB per atom.

```
data_WI
_chemical_formula_sum 'W1 I1'
_symmetry_space_group_name_H-M 'P 1'
_symmetry_Int_Tables_number 1
_cell_length_a 4.053
_cell_length_b 4.053
_cell_length_c 4.053
_cell_angle_alpha 60.00
_cell_angle_beta 60.00
_cell_angle_gamma 60.00
loop_
_symmetry_equiv_pos_as_xyz
'x,y,z'
loop_
_atom_site_label
_atom_site_fract_x
_atom_site_fract_y
_atom_site_fract_z
_atom_site_occupancy
W1 0.500 0.500 0.500 1
I1 0.000 0.000 0.000 1
```

Model x:
A plane-wave DFT calculation with GGA-PBE was carried out for a relaxed structure of WI.

Its magnetization is 0.02 μB per atom.

```
data_WI
_chemical_formula_sum 'W1 I1'
_symmetry_space_group_name_H-M 'P 1'
_symmetry_Int_Tables_number 1
_cell_length_a 3.293
_cell_length_b 3.293
_cell_length_c 4.366
_cell_angle_alpha 90.00
_cell_angle_beta 90.00
_cell_angle_gamma 120.00
loop_
_symmetry_equiv_pos_as_xyz
'x,y,z'
loop_
_atom_site_label
_atom_site_fract_x
_atom_site_fract_y
_atom_site_fract_z
_atom_site_occupancy
I1 0.667 0.333 0.750 1
W1 0.333 0.667 0.250 1
```

Model y:
A plane-wave DFT calculation with GGA-PBE was carried out for a relaxed structure of WI.

Its magnetization is 0.23 μB per atom.

```
data_WI
_chemical_formula_sum 'W1 I1'
_symmetry_space_group_name_H-M 'P 1'
_symmetry_Int_Tables_number 1
_cell_length_a 4.279
_cell_length_b 4.279
_cell_length_c 4.279
_cell_angle_alpha 60.00
_cell_angle_beta 60.00
_cell_angle_gamma 60.00
loop_
_symmetry_equiv_pos_as_xyz
'x,y,z'
loop_
_atom_site_label
_atom_site_fract_x
_atom_site_fract_y
_atom_site_fract_z
_atom_site_occupancy
W1 0.250 0.250 0.250 1
I1 0.000 0.000 0.000 1
```

Most stable: model x

Model w:
A plane-wave DFT calculation with GGA-PBE was carried out for a relaxed structure of WI2.

Its magnetization is 0.01 μB per atom.

```
data_WI2
_chemical_formula_sum 'W2 I4'
_symmetry_space_group_name_H-M 'P 1'
_symmetry_Int_Tables_number 1
_cell_length_a 6.305
_cell_length_b 6.305
_cell_length_c 4.315
_cell_angle_alpha 90.00
_cell_angle_beta 90.00
_cell_angle_gamma 90.00
loop_
_symmetry_equiv_pos_as_xyz
'x,y,z'
loop_
_atom_site_label
_atom_site_fract_x
_atom_site_fract_y
_atom_site_fract_z
_atom_site_occupancy
W1 0.500 0.500 0.500 1
W2 0.000 0.000 0.000 1
I1 0.808 0.192 0.500 1
I2 0.192 0.808 0.500 1
I3 0.308 0.308 0.000 1
I4 0.692 0.692 0.000 1
```

Model x:
A plane-wave DFT calculation with GGA-PBE was carried out for a relaxed structure of WI2.

Its magnetization is 0.00 μB per atom.

```
data_WI2
_chemical_formula_sum 'W12 I24'
_symmetry_space_group_name_H-M 'P 1'
_symmetry_Int_Tables_number 1
_cell_length_a 10.398
_cell_length_b 11.204
_cell_length_c 13.264
_cell_angle_alpha 90.00
_cell_angle_beta 114.51
_cell_angle_gamma 90.00
loop_
_symmetry_equiv_pos_as_xyz
'x,y,z'
loop_
_atom_site_label
_atom_site_fract_x
_atom_site_fract_y
_atom_site_fract_z
_atom_site_occupancy
W1 0.323 0.424 0.464 1
W2 0.437 0.633 0.556 1
W3 0.430 0.929 0.858 1
W4 0.323 0.076 0.964 1
W5 0.437 0.867 0.056 1
W6 0.570 0.071 0.142 1
W7 0.677 0.924 0.036 1
W8 0.430 0.571 0.358 1
W9 0.563 0.133 0.944 1
W10 0.563 0.367 0.444 1
W11 0.677 0.576 0.536 1
W12 0.570 0.429 0.642 1
I1 0.320 0.662 0.130 1
I2 0.322 0.013 0.170 1
I3 0.937 0.691 0.585 1
I4 0.063 0.309 0.415 1
I5 0.459 0.297 0.051 1
I6 0.937 0.809 0.085 1
I7 0.680 0.162 0.370 1
I8 0.175 0.863 0.869 1
I9 0.825 0.363 0.631 1
I10 0.680 0.338 0.870 1
I11 0.302 0.145 0.755 1
I12 0.459 0.203 0.551 1
I13 0.302 0.355 0.255 1
I14 0.322 0.487 0.670 1
I15 0.541 0.703 0.949 1
I16 0.698 0.855 0.245 1
I17 0.175 0.637 0.369 1
I18 0.320 0.838 0.630 1
I19 0.063 0.191 0.915 1
I20 0.541 0.797 0.449 1
I21 0.678 0.987 0.830 1
I22 0.698 0.645 0.745 1
I23 0.825 0.137 0.131 1
I24 0.678 0.513 0.330 1
```

Model y:
A plane-wave DFT calculation with GGA-PBE was carried out for a relaxed structure of WI2.

Its magnetization is 0.01 μB per atom.

```
data_WI2
_chemical_formula_sum 'W2 I4'
_symmetry_space_group_name_H-M 'P 1'
_symmetry_Int_Tables_number 1
_cell_length_a 8.444
_cell_length_b 8.444
_cell_length_c 8.444
_cell_angle_alpha 60.00
_cell_angle_beta 60.00
_cell_angle_gamma 60.00
loop_
_symmetry_equiv_pos_as_xyz
'x,y,z'
loop_
_atom_site_label
_atom_site_fract_x
_atom_site_fract_y
_atom_site_fract_z
_atom_site_occupancy
I1 0.375 0.375 0.375 1
I2 0.375 0.375 0.875 1
I3 0.375 0.875 0.375 1
I4 0.875 0.375 0.375 1
W1 0.500 0.500 0.500 1
W2 0.250 0.250 0.250 1
```

Most stable: model x